Entry from the Alexandria database: a geometry-optimized LaBeOF2 structure (PBEsol).

The space group is P4/mmm (No. 123) and the conventional cell measures 4.6395, 4.6395 and 4.5501 Å, with angles of 90.00, 90.00 and 90.00 degrees. The asymmetric unit holds La at (0.0000, 0.0000, 0.0000), Be at (0.5000, 0.5000, 0.5000), O at (0.0000, 0.0000, 0.5000) and F at (0.0000, 0.5000, 0.0000).

For the density of states at the Fermi level, the calculation gives 0.970 states/eV/f.u. The value obtained for the uncorrected formation energy is -1.92 eV per atom. As for the energy: -5.606 eV/atom. Its total magnetization is 1.012 μB/f.u.